one) A plane-wave DFT calculation with PBE-GGA was carried out for HfZr2Ti after structural relaxation.

Cell: 3.1516 3.1516 30.2789 Å, 90.00 90.00 120.00°
Space group R3m (No. 160, hexagonal axes)
Inequivalent atoms, fractional coordinates:
Hf1 0.0000 0.0000 0.0000
Zr1 0.0000 0.0000 0.5807
Zr2 0.0000 0.0000 0.7536
Ti1 0.0000 0.0000 0.1672

DOS(E_F), states/eV per atom: 1.3935
Volume, Å³ per cell: 260.52

=====

two) A plane-wave DFT calculation with PBE-GGA was carried out for HfZr2Ti after structural relaxation.

Cell: 4.3950 4.3950 8.9183 Å, 90.00 90.00 90.00°
Space group I-4m2 (No. 119)
Inequivalent atoms, fractional coordinates:
Hf1 0.0000 0.0000 0.0000
Zr1 0.0000 0.0000 0.5000
Zr2 0.0000 0.5000 0.2500
Ti1 0.0000 0.5000 0.7500

DOS(E_F), states/eV per atom: 1.5595
Volume, Å³ per cell: 172.27

=====

Of them, the most stable is two) and the least stable is one).

=====

one) A plane-wave DFT calculation with PBE-GGA was carried out for HfZr2Ti after structural relaxation.

Cell: 7.6637 7.6637 5.9812 Å, 90.00 90.00 90.00°
Space group I-42d (No. 122)
Inequivalent atoms, fractional coordinates:
Hf1 0.0000 0.0000 0.0000
Zr1 0.2334 0.7500 0.6250
Ti1 0.0000 0.0000 0.5000

DOS(E_F), states/eV per atom: 1.3462
Volume, Å³ per cell: 351.29

=====

two) A plane-wave DFT calculation with PBE-GGA was carried out for HfZr2Ti after structural relaxation.

Cell: 3.1631 3.1631 8.6158 Å, 90.00 90.00 90.00°
Space group P4/mmm (No. 123)
Inequivalent atoms, fractional coordinates:
Hf1 0.0000 0.0000 0.0000
Zr1 0.5000 0.5000 0.2602
Ti1 0.0000 0.0000 0.5000

DOS(E_F), states/eV per atom: 1.8600
Volume, Å³ per cell: 86.20

=====

three) A plane-wave DFT calculation with PBE-GGA was carried out for HfZr2Ti after structural relaxation.

Cell: 3.0442 4.8890 5.8596 Å, 90.00 90.00 90.00°
Space group Pmmm (No. 47)
Inequivalent atoms, fractional coordinates:
Hf1 0.0000 0.0000 0.0000
Zr1 0.5000 0.5000 0.2414
Ti1 0.5000 0.0000 0.5000

DOS(E_F), states/eV per atom: 1.2598
Volume, Å³ per cell: 87.21

=====

four) A plane-wave DFT calculation with PBE-GGA was carried out for HfZr2Ti after structural relaxation.

Cell: 6.9781 6.9781 6.9781 Å, 90.00 90.00 90.00°
Space group Fm-3m (No. 225)
Inequivalent atoms, fractional coordinates:
Hf1 0.0000 0.0000 0.0000
Zr1 0.2500 0.2500 0.2500
Ti1 0.0000 0.0000 0.5000

DOS(E_F), states/eV per atom: 1.8608
Volume, Å³ per cell: 339.78

=====

Of them, the most stable is two) and the least stable is one).

=====

one) A plane-wave DFT calculation with PBE-GGA was carried out for HfZrTi after structural relaxation.

Cell: 5.5650 7.8045 5.8444 Å, 90.00 90.00 90.00°
Space group Pbam (No. 55)
Inequivalent atoms, fractional coordinates:
Hf1 0.1077 0.1784 0.0000
Zr1 0.1134 0.8224 0.5000
Ti1 0.0000 0.5000 0.2462

DOS(E_F), states/eV per atom: 0.9585
Volume, Å³ per cell: 253.83

=====

two) A plane-wave DFT calculation with PBE-GGA was carried out for HfZrTi after structural relaxation.

Cell: 5.7799 4.9499 4.8894 Å, 90.00 90.00 90.00°
Space group Pmma (No. 51)
Inequivalent atoms, fractional coordinates:
Hf1 0.2500 0.0000 0.1842
Zr1 0.0000 0.5000 0.5000
Ti1 0.2500 0.5000 0.9787

DOS(E_F), states/eV per atom: 1.4077
Volume, Å³ per cell: 139.89

=====

three) A plane-wave DFT calculation with PBE-GGA was carried out for HfZrTi after structural relaxation.

Cell: 4.8600 4.8600 3.0858 Å, 90.00 90.00 120.00°
Space group P-6m2 (No. 187)
Inequivalent atoms, fractional coordinates:
Hf1 0.0000 0.0000 0.0000
Zr1 0.6667 0.3333 0.5000
Ti1 0.3333 0.6667 0.0000

DOS(E_F), states/eV per atom: 0.9943
Volume, Å³ per cell: 63.12

=====

Of them, the most stable is one) and the least stable is two).

=====

one) A plane-wave DFT calculation with PBE-GGA was carried out for Hf5Zr4Ti after structural relaxation.

Cell: 9.1620 9.1620 5.4082 Å, 90.00 90.00 90.00°
Space group I4mm (No. 107)
Inequivalent atoms, fractional coordinates:
Hf1 0.0000 0.0000 0.0000
Hf2 0.1844 0.1844 0.3016
Zr1 0.0000 0.3203 0.7682
Ti1 0.0000 0.0000 0.5431

DOS(E_F), states/eV per atom: 1.2557
Volume, Å³ per cell: 453.98

=====

two) A plane-wave DFT calculation with PBE-GGA was carried out for Hf5Zr4Ti after structural relaxation.

Cell: 15.2342 3.0980 10.0238 Å, 90.00 110.04 90.00°
Space group C2/m (No. 12)
Inequivalent atoms, fractional coordinates:
Hf1 0.0000 0.0000 0.0000
Hf2 0.1919 0.5000 0.0873
Hf3 0.2084 0.5000 0.6095
Zr1 0.0918 0.5000 0.3018
Zr2 0.1040 0.0000 0.7940
Ti1 0.0000 0.0000 0.5000

DOS(E_F), states/eV per atom: 1.0614
Volume, Å³ per cell: 444.44

=====

Of them, the most stable is two) and the least stable is one).

=====

one) A plane-wave DFT calculation with PBE-GGA was carried out for Hf2Zr8Ti after structural relaxation.

Cell: 14.7417 6.0123 5.8041 Å, 90.00 101.99 90.00°
Space group C2/m (No. 12)
Inequivalent atoms, fractional coordinates:
Hf1 0.2477 0.0000 0.3458
Zr1 0.0805 0.2599 0.3866
Zr2 0.1010 0.5000 0.9240
Zr3 0.1860 0.0000 0.8205
Ti1 0.0000 0.0000 0.0000

DOS(E_F), states/eV per atom: 1.0524
Volume, Å³ per cell: 503.21

=====

two) A plane-wave DFT calculation with PBE-GGA was carried out for Hf2Zr8Ti after structural relaxation.

Cell: 4.8843 6.0693 8.7098 Å, 91.46 106.20 90.05°
Space group P-1 (No. 2)
Inequivalent atoms, fractional coordinates:
Hf1 0.0437 0.2321 0.0878
Zr1 0.1451 0.6830 0.2928
Zr2 0.2343 0.1586 0.4691
Zr3 0.3379 0.6236 0.6743
Zr4 0.4215 0.0853 0.8404
Ti1 0.5000 0.5000 0.0000

DOS(E_F), states/eV per atom: 1.5359
Volume, Å³ per cell: 247.85

=====

Of them, the most stable is two) and the least stable is one).